(1)
Na2AcErO4: relaxed, PBE-GGA. Values from VASP.

Total magnetization: 0.000 μB per cell
Fermi-level density of states: 0.00 states/eV/cell
Formation energy from raw total energies: -2.63 eV per atom

Cell and atoms, written as Quantum ESPRESSO input:
```
&SYSTEM
  ibrav = 0, nat = 8, ntyp = 4
/
ATOMIC_SPECIES
Na 22.99 Na.upf
Ac 227.00 Ac.upf
Er 167.26 Er.upf
O 16.00 O.upf
CELL_PARAMETERS angstrom
6.0444 0.0000 0.0000
0.0000 3.5801 0.0000
-2.2587 0.0000 5.8747
ATOMIC_POSITIONS angstrom
Na 0.0000 0.0000 0.0000
Na -1.1294 1.7901 2.9373
Ac 1.8928 0.0000 2.9373
Er 3.0222 1.7901 0.0000
O 1.1948 1.7901 1.3659
O -0.0159 0.0000 4.5690
O 3.8016 0.0000 1.3057
O 2.5909 1.7901 4.5088
```

(2)
NaAcErPb: relaxed, PBE-GGA. Values from VASP.

Energy of formation from the pure elements: -0.116 eV/atom
Total magnetization: 0.002 μB per cell
Fermi-level density of states: 3.51 states/eV/cell

Cell and atoms, written as Quantum ESPRESSO input:
```
&SYSTEM
  ibrav = 0, nat = 4, ntyp = 4
/
ATOMIC_SPECIES
Na 22.99 Na.upf
Ac 227.00 Ac.upf
Er 167.26 Er.upf
Pb 207.20 Pb.upf
CELL_PARAMETERS angstrom
0.0000 4.0012 4.0012
4.0012 0.0000 4.0012
4.0012 4.0012 0.0000
ATOMIC_POSITIONS angstrom
Na 0.0000 0.0000 0.0000
Ac 2.0006 2.0006 2.0006
Er 6.0018 6.0018 6.0018
Pb 4.0012 4.0012 4.0012
```

(3)
NaAcPrEr: relaxed, PBE-GGA. Values from VASP.

Energy of formation from the pure elements: 0.234 eV/atom
Total magnetization: 0.000 μB per cell
Fermi-level density of states: 5.28 states/eV/cell

Cell and atoms, written as Quantum ESPRESSO input:
```
&SYSTEM
  ibrav = 0, nat = 4, ntyp = 4
/
ATOMIC_SPECIES
Na 22.99 Na.upf
Ac 227.00 Ac.upf
Pr 140.91 Pr.upf
Er 167.26 Er.upf
CELL_PARAMETERS angstrom
0.0000 4.1729 4.1729
4.1729 0.0000 4.1729
4.1729 4.1729 0.0000
ATOMIC_POSITIONS angstrom
Na 0.0000 0.0000 0.0000
Ac 6.2594 6.2594 6.2594
Pr 2.0865 2.0865 2.0865
Er 4.1729 4.1729 4.1729
```

(4)
NaAc2ErS4: relaxed, PBE-GGA. Values from VASP.

Total magnetization: 0.000 μB per cell
Fermi-level density of states: 2.88 states/eV/cell
Formation energy from raw total energies: -1.87 eV per atom

Cell and atoms, written as Quantum ESPRESSO input:
```
&SYSTEM
  ibrav = 0, nat = 8, ntyp = 4
/
ATOMIC_SPECIES
Na 22.99 Na.upf
Ac 227.00 Ac.upf
Er 167.26 Er.upf
S 32.06 S.upf
CELL_PARAMETERS angstrom
7.1351 0.0000 0.0000
0.0000 4.1404 0.0000
-2.3901 0.0000 6.7984
ATOMIC_POSITIONS angstrom
Na 0.0000 0.0000 0.0000
Ac 2.3725 0.0000 3.3992
Ac 3.5676 2.0702 0.0000
Er -1.1950 2.0702 3.3992
S -0.1734 0.0000 4.9932
S 1.0336 2.0702 1.7212
S 3.7114 2.0702 5.0771
S 4.9184 0.0000 1.8051
```

(5)
NaAcEr2S4: relaxed, PBE-GGA. Values from VASP.

Total magnetization: 0.000 μB per cell
Fermi-level density of states: 2.53 states/eV/cell
Formation energy from raw total energies: -1.90 eV per atom

Cell and atoms, written as Quantum ESPRESSO input:
```
&SYSTEM
  ibrav = 0, nat = 8, ntyp = 4
/
ATOMIC_SPECIES
Na 22.99 Na.upf
Ac 227.00 Ac.upf
Er 167.26 Er.upf
S 32.06 S.upf
CELL_PARAMETERS angstrom
6.9077 0.0000 0.0000
0.0000 3.9765 0.0000
-2.2765 0.0000 6.7813
ATOMIC_POSITIONS angstrom
Na 0.0000 0.0000 0.0000
Ac 3.4538 1.9883 0.0000
Er -1.1382 1.9883 3.3907
Er 2.3156 0.0000 3.3907
S -0.0328 0.0000 4.9092
S 1.1317 1.9883 1.8616
S 3.4995 1.9883 4.9198
S 4.6640 0.0000 1.8722
```

(6)
Na2AcErS4: relaxed, PBE-GGA. Values from VASP.

Total magnetization: 0.000 μB per cell
Fermi-level density of states: 0.00 states/eV/cell
Formation energy from raw total energies: -1.80 eV per atom

Cell and atoms, written as Quantum ESPRESSO input:
```
&SYSTEM
  ibrav = 0, nat = 8, ntyp = 4
/
ATOMIC_SPECIES
Na 22.99 Na.upf
Ac 227.00 Ac.upf
Er 167.26 Er.upf
S 32.06 S.upf
CELL_PARAMETERS angstrom
7.1210 0.0000 0.0000
0.0000 4.1570 0.0000
-2.4505 0.0000 6.8043
ATOMIC_POSITIONS angstrom
Na 0.0000 0.0000 0.0000
Na -1.2253 2.0785 3.4022
Ac 2.3352 0.0000 3.4022
Er 3.5605 2.0785 0.0000
S 1.3102 2.0785 1.5847
S 0.0426 0.0000 5.2710
S 4.6278 0.0000 1.5333
S 3.3602 2.0785 5.2196
```

(7)
Na2AcErSe4: relaxed, PBE-GGA. Values from VASP.

Total magnetization: 0.000 μB per cell
Fermi-level density of states: 0.00 states/eV/cell
Formation energy from raw total energies: -1.69 eV per atom

Cell and atoms, written as Quantum ESPRESSO input:
```
&SYSTEM
  ibrav = 0, nat = 8, ntyp = 4
/
ATOMIC_SPECIES
Na 22.99 Na.upf
Ac 227.00 Ac.upf
Er 167.26 Er.upf
Se 78.96 Se.upf
CELL_PARAMETERS angstrom
7.4570 0.0000 0.0000
0.0000 4.3159 0.0000
-2.5184 0.0000 7.0645
ATOMIC_POSITIONS angstrom
Na 0.0000 0.0000 0.0000
Na -1.2592 2.1580 3.5322
Ac 2.4693 0.0000 3.5322
Er 3.7285 2.1580 0.0000
Se 1.3575 2.1580 1.6436
Se 0.0626 0.0000 5.4655
Se 4.8760 0.0000 1.5989
Se 3.5811 2.1580 5.4209
```

(8)
NaAc2ErSe4: relaxed, PBE-GGA. Values from VASP.

Total magnetization: 0.000 μB per cell
Fermi-level density of states: 3.02 states/eV/cell
Formation energy from raw total energies: -1.74 eV per atom

Cell and atoms, written as Quantum ESPRESSO input:
```
&SYSTEM
  ibrav = 0, nat = 8, ntyp = 4
/
ATOMIC_SPECIES
Na 22.99 Na.upf
Ac 227.00 Ac.upf
Er 167.26 Er.upf
Se 78.96 Se.upf
CELL_PARAMETERS angstrom
7.4117 0.0000 0.0000
0.0000 4.3029 0.0000
-2.4834 0.0000 7.0776
ATOMIC_POSITIONS angstrom
Na 0.0000 0.0000 0.0000
Ac 2.4642 0.0000 3.5388
Ac 3.7059 2.1515 0.0000
Er -1.2417 2.1515 3.5388
Se -0.1813 0.0000 5.2112
Se 1.0742 2.1515 1.7750
Se 3.8541 2.1515 5.3026
Se 5.1096 0.0000 1.8664
```

(9)
Na3AcEr2Se6: relaxed, PBE-GGA. Values from VASP.

Total magnetization: 0.000 μB per cell
Fermi-level density of states: 0.00 states/eV/cell
Formation energy from raw total energies: -1.70 eV per atom

Cell and atoms, written as Quantum ESPRESSO input:
```
&SYSTEM
  ibrav = 0, nat = 12, ntyp = 4
/
ATOMIC_SPECIES
Na 22.99 Na.upf
Ac 227.00 Ac.upf
Er 167.26 Er.upf
Se 78.96 Se.upf
CELL_PARAMETERS angstrom
3.6811 -6.3810 0.0000
3.6811 6.3810 0.0000
-2.4741 0.0000 7.0225
ATOMIC_POSITIONS angstrom
Na 0.0000 0.0000 0.0000
Na 3.6811 2.1042 0.0000
Na 3.6811 -2.1042 0.0000
Ac 2.4441 0.0000 3.5112
Er 2.4441 4.2471 3.5112
Er 2.4441 -4.2471 3.5112
Se 1.1397 2.2610 1.8861
Se -0.1677 0.0000 5.1503
Se 1.1397 -2.2610 1.8861
Se 3.7484 2.2610 5.1364
Se 5.0559 0.0000 1.8722
Se 3.7484 -2.2610 5.1364
```

(10)
NaAc2ErSe5: relaxed, PBE-GGA. Values from VASP.

Total magnetization: 0.000 μB per cell
Formation energy from raw total energies: -1.79 eV per atom

Cell and atoms, written as Quantum ESPRESSO input:
```
&SYSTEM
  ibrav = 0, nat = 18, ntyp = 4
/
ATOMIC_SPECIES
Na 22.99 Na.upf
Ac 227.00 Ac.upf
Er 167.26 Er.upf
Se 78.96 Se.upf
CELL_PARAMETERS angstrom
2.1750 -8.9065 0.0000
2.1750 8.9065 0.0000
0.0000 0.0000 13.1333
ATOMIC_POSITIONS angstrom
Na 2.1750 8.3351 6.5666
Na 2.1750 -8.3351 0.0000
Ac 2.1750 2.3766 4.3282
Ac 2.1750 1.8333 9.3820
Ac 2.1750 -1.8333 2.8153
Ac 2.1750 -2.3766 10.8949
Er 2.1750 3.6184 0.5255
Er 2.1750 -3.6184 7.0921
Se 2.1750 8.8007 10.5347
Se 2.1750 6.4740 0.3850
Se 2.1750 5.5244 5.1554
Se 2.1750 4.9646 9.0540
Se 2.1750 1.0674 1.4498
Se 2.1750 -1.0674 8.0164
Se 2.1750 -4.9646 2.4874
Se 2.1750 -5.5244 11.7221
Se 2.1750 -6.4740 6.9516
Se 2.1750 -8.8007 3.9681
```

(11)
Na3Ac2ErSe6: relaxed, PBE-GGA. Values from VASP.

Total magnetization: 0.000 μB per cell
Fermi-level density of states: 0.00 states/eV/cell
Formation energy from raw total energies: -1.70 eV per atom

Cell and atoms, written as Quantum ESPRESSO input:
```
&SYSTEM
  ibrav = 0, nat = 12, ntyp = 4
/
ATOMIC_SPECIES
Na 22.99 Na.upf
Ac 227.00 Ac.upf
Er 167.26 Er.upf
Se 78.96 Se.upf
CELL_PARAMETERS angstrom
9.4852 -2.1902 0.0000
9.4852 2.1902 0.0000
-1.8137 0.0000 8.4775
ATOMIC_POSITIONS angstrom
Na 0.0000 0.0000 0.0000
Na 5.1911 0.0000 5.6811
Na 11.9657 0.0000 2.7965
Ac 6.0493 0.0000 1.4851
Ac 11.1075 0.0000 6.9924
Er -0.9069 0.0000 4.2388
Se 1.9191 0.0000 4.8454
Se 3.0197 0.0000 0.6832
Se 8.1575 0.0000 6.1379
Se 8.9993 0.0000 2.3397
Se 14.1371 0.0000 7.7943
Se 15.2377 0.0000 3.6322
```

(12)
Na4Ac3ErSe8: relaxed, PBE-GGA. Values from VASP.

Total magnetization: 0.000 μB per cell
Fermi-level density of states: 0.00 states/eV/cell
Formation energy from raw total energies: -1.70 eV per atom

Cell and atoms, written as Quantum ESPRESSO input:
```
&SYSTEM
  ibrav = 0, nat = 16, ntyp = 4
/
ATOMIC_SPECIES
Na 22.99 Na.upf
Ac 227.00 Ac.upf
Er 167.26 Er.upf
Se 78.96 Se.upf
CELL_PARAMETERS angstrom
4.4228 2.5535 7.0172
-4.4228 2.5535 7.0172
0.0000 -5.1070 7.0172
ATOMIC_POSITIONS angstrom
Na 0.0000 0.0000 0.0000
Na -2.2114 -1.2767 7.0172
Na -2.2114 1.2767 14.0344
Na 0.0000 2.5535 7.0172
Ac -4.4228 0.0000 10.5258
Ac -2.2114 1.2767 3.5086
Ac 2.2114 1.2767 3.5086
Er 0.0000 0.0000 10.5258
Se 0.0000 0.0000 5.2478
Se 0.0000 -2.4080 8.8661
Se -2.0854 1.2040 8.8661
Se -2.0854 -1.2040 12.1856
Se 2.0854 1.2040 8.8661
Se 2.0854 -1.2040 12.1856
Se 0.0000 2.4080 12.1856
Se 0.0000 0.0000 15.8039
```

Question: Which of these has the highest total magnetization?
Answer: NaAcErPb

Question: Number 10 is which compound?
Answer: NaAc2ErSe5